A geometry-optimized Na2PuTiF8 structure, computed with PBE.

Volume ... 13.1 Å³/atom
E ... -78.15 eV/cell
Magnetization ... 6.0 Bohr magnetons per cell
ΔE_f (raw) ... -3.193 eV/atom

The structure in extended XYZ format:
```
12
Lattice="3.782 -0.066 -0.002 0.019 5.551 -0.006 0.004 0.009 7.496" Properties=species:S:1:pos:R:3 pbc="T T T"
F 1.896 4.130 3.742
F 1.909 1.363 3.745
F 0.031 4.304 1.697
F 1.930 4.356 -0.006
F 3.774 1.189 5.791
F 1.876 1.137 7.493
F 3.772 1.184 1.698
F 0.033 4.309 5.789
Ti 0.000 0.000 0.000
Pu 0.002 0.004 3.748
Na 1.904 2.749 5.785
Na 1.901 2.744 1.702
```